# 1
ZnGeB2O, optimized geometry, DFT PBE-GGA; uncorrected formation energy = 1530 meV per atom; space group = No. 123; V = 78.08 Å³/f.u.
1.0
3.975 0.000 0.000
0.000 3.975 0.000
0.000 0.000 4.941
Ge B Zn O
1 2 1 1
Direct
0.000 0.000 0.000
0.000 0.500 0.000
0.500 0.000 0.000
0.000 0.000 0.500
0.500 0.500 0.500

# 2
Ge2BOs, optimized geometry, DFT PBE-GGA; space group = No. 122; V = 70.14 Å³/f.u.; calculated formation energy = 0.827 eV/atom
1.0
5.413 0.000 0.000
0.000 5.413 0.000
2.706 2.706 4.788
Ge B Os
4 2 2
Direct
0.577 0.125 0.250
0.173 0.625 0.250
0.375 0.423 0.750
0.875 0.827 0.750
0.500 0.500 0.000
0.250 0.750 0.500
0.000 0.000 0.000
0.750 0.250 0.500

# 3
GeBOs, optimized geometry, DFT PBE-GGA; space group = No. 1; V = 37.64 Å³/f.u.; E above lowest polymorph = 0.336 eV per formula unit; calculated formation energy = 0.156 eV/atom
1.0
3.022 0.000 0.000
-1.271 4.042 0.000
-0.803 -0.822 6.164
Ge B Os
2 2 2
Direct
0.384 0.931 0.151
0.962 0.482 0.394
0.676 0.686 0.680
0.937 0.083 0.843
0.363 0.076 0.578
0.659 0.462 0.985

# 4
GeBOs3, optimized geometry, DFT PBE-GGA; space group = No. 221; V = 68.67 Å³/f.u.; E above lowest polymorph = 0.000 eV per formula unit; calculated formation energy = 0.516 eV/atom
1.0
-3.123 2.303 -1.310
-1.158 -3.008 -2.527
-2.383 -1.556 2.944
Ge B Os
1 1 3
Direct
0.500 0.500 0.500
0.000 0.000 0.000
0.000 0.500 0.000
0.000 0.000 0.500
0.500 0.000 0.000